Record 1
# Tb6SmTm4 | the Alexandria database | GGA-PBE | relaxed
data_Tb6SmTm4
_chemical_formula_sum 'Tb6 Sm1 Tm4'
_space_group_name_H-M_alt 'P 1'
_space_group_IT_number 1
_cell_length_a 6.5369
_cell_length_b 6.5369
_cell_length_c 9.6906
_cell_angle_alpha 109.71
_cell_angle_beta 109.71
_cell_angle_gamma 90.00
loop_
_space_group_symop_operation_xyz
'x,y,z'
loop_
_atom_site_label
_atom_site_fract_x
_atom_site_fract_y
_atom_site_fract_z
Tm1 0.3109 0.3109 0.2624
Tm2 0.9514 0.9514 0.2624
Tm3 0.6891 0.0486 0.7376
Tm4 0.0486 0.6891 0.7376
Tb1 0.8615 0.4867 0.3482
Tb2 0.4867 0.8615 0.3482
Tb3 0.5133 0.5133 0.6518
Tb4 0.0000 0.5000 0.0000
Tb5 0.5000 0.0000 0.0000
Tb6 0.1385 0.1385 0.6518
Sm1 0.5000 0.5000 0.0000
# DOS at the Fermi energy: 1.4101 states/eV per atom
# crystal system: tetragonal
# energy above the lowest structure with this stoichiometry: 0.1960 eV per atom

=====

Record 2
# Ba2TePt | the Alexandria database | GGA-PBE | relaxed
data_Ba2TePt
_chemical_formula_sum 'Ba2 Te1 Pt1'
_space_group_name_H-M_alt 'P 1'
_space_group_IT_number 1
_cell_length_a 4.7309
_cell_length_b 4.7309
_cell_length_c 8.5080
_cell_angle_alpha 73.87
_cell_angle_beta 73.87
_cell_angle_gamma 60.00
loop_
_space_group_symop_operation_xyz
'x,y,z'
loop_
_atom_site_label
_atom_site_fract_x
_atom_site_fract_y
_atom_site_fract_z
Ba1 0.0758 0.0758 0.7727
Ba2 0.2579 0.2579 0.2265
Te1 0.5003 0.5003 0.4991
Pt1 0.6661 0.6661 0.0016
# crystal system: trigonal
# E_form (uncorrected): -4.57 eV per formula unit

=====

| no. | total magnetization (Bohr magnetons per cell) |
| --- | --- |
| 1 | 0.0 |
| 2 | 0.0 |